The following is a DFT calculation (PBE with a Hubbard U) of LaVInF2 after structural relaxation.

abc: 4.4962 6.9891 4.4962
angles: 90.00 90.00 90.00
Last column: nearest neighbours and their distance in Å.
Positions (direct):
F: 0.5000 0.0000 0.0000  2 La 2.25
F: 0.0000 0.0000 0.5000  2 La 2.25
La: 0.0000 0.0000 0.0000  4 F 2.25
In: 0.5000 0.5000 0.5000  4 V 3.18
V: 0.0000 0.5000 0.0000  4 In 3.18, 2 La 3.49

Results
Space-group type: P4/mmm
Size of the total moment (μB per atom): 0.767
VASP energy (eV per atom): -5.281